1.
Below is an optimized crystal structure of LaPmSn2, with properties calculated at the PBE level.

```
LaPmSn2
1.0
-0.5466 -0.2287 3.4666
-2.5491 -2.0786 1.2449
6.7056 -9.8877 2.1889
Sn Pm La
2 1 1
direct
0.0908 0.0908 0.7276 Sn
0.9092 0.9092 0.2724 Sn
0.5000 0.5000 0.5000 Pm
0.0000 0.0000 0.0000 La
```

Computed properties:
Total moment ... 0.0 μB per formula unit
Energy of formation ... -11.9 kJ per mole of atoms
Total DFT energy (no corrections) ... -4.54 eV per atom
Space-group type ... No. 166

---

2.
Below is an optimized crystal structure of LiTb2ErSe4, with properties calculated at the PBE level.

```
LiTb2ErSe4
1.0
4.0380 0.0000 0.0000
0.0000 7.0027 0.1315
0.0000 -2.4401 6.5793
Se Er Tb Li
4 1 2 1
direct
0.0000 0.7526 0.2405 Se
0.5000 0.7568 0.7602 Se
0.5000 0.2432 0.2398 Se
0.0000 0.2474 0.7595 Se
0.5000 0.5000 0.0000 Er
0.5000 0.0000 0.5000 Tb
0.0000 0.5000 0.5000 Tb
0.0000 0.0000 0.0000 Li
```

Computed properties:
Total moment ... 0.0 μB per formula unit
Formation energy (no corrections) ... -1741.1 meV/atom
Total DFT energy (no corrections) ... -5.45 eV per atom
Space-group type ... No. 10